1.
LiAc2O4 | PBE-GGA | optimized geometry

a = 7.3341 Å, b = 7.3341 Å, c = 7.3341 Å
α = 149.69°, β = 149.69°, γ = 43.40°
Sites, in units of the cell vectors:
Li  0.0000  0.0000  0.0000
Ac  0.3644  0.3644  0.0000
Ac  0.6356  0.6356  0.0000
O  0.0000  0.5000  0.5000
O  0.1795  0.1795  0.0000
O  0.5000  0.0000  0.5000
O  0.8205  0.8205  0.0000

Results
Raw formation energy ... -2.721 eV per atom
DOS at the Fermi energy ... 0.37 states/eV per atom
SG ... No. 139

---

2.
LiAcO2 | PBE-GGA | optimized geometry

a = 4.2626 Å, b = 4.2626 Å, c = 4.2626 Å
α = 60.00°, β = 60.00°, γ = 60.00°
Sites, in units of the cell vectors:
Li  0.0000  0.0000  0.0000
Ac  0.5000  0.5000  0.5000
O  0.2500  0.2500  0.2500
O  0.7500  0.7500  0.7500

Results
Energy above the most stable polymorph in this dataset ... 255 meV/atom
Raw formation energy ... -2.471 eV per atom
DOS at the Fermi energy ... 0.00 states/eV per atom
SG ... No. 225

---

What is the raw formation energy in the first record? -2.721 eV per atom

---

Which of these has the highest DOS at the Fermi energy? LiAc2O4

---

Which value of raw formation energy does entry 1 give? -2.721 eV per atom

---

Repeat the second record exactly.
LiAcO2 | PBE-GGA | optimized geometry

a = 4.2626 Å, b = 4.2626 Å, c = 4.2626 Å
α = 60.00°, β = 60.00°, γ = 60.00°
Sites, in units of the cell vectors:
Li  0.0000  0.0000  0.0000
Ac  0.5000  0.5000  0.5000
O  0.2500  0.2500  0.2500
O  0.7500  0.7500  0.7500

Results
Energy above the most stable polymorph in this dataset ... 255 meV/atom
Raw formation energy ... -2.471 eV per atom
DOS at the Fermi energy ... 0.00 states/eV per atom
SG ... No. 225